1.
Entry from the Open Quantum Materials Database: LiAgIrS3 after structural relaxation (GGA-PBE).

Unit cell a=3.514 b=13.313 c=9.391 alpha=90.00 beta=90.00 gamma=90.00
Space group Cmcm (No. 63)
Unique sites:
Li: 0.000 0.178 0.250
Ag: 0.000 0.153 0.750
Ir: 0.000 0.500 0.000
S: 0.000 0.123 0.505
S: 0.000 0.454 0.750

* E: -4.6164 eV/atom

2.
Entry from the Open Quantum Materials Database: LiAgTeIrS2 after structural relaxation (GGA-PBE).

Unit cell a=3.515 b=14.089 c=10.124 alpha=90.00 beta=90.00 gamma=90.00
Space group Cmcm (No. 63)
Unique sites:
Li: 0.000 0.218 0.250
Ag: 0.000 0.133 0.750
Te: 0.000 0.438 0.750
Ir: 0.000 0.500 0.000
S: 0.000 0.116 0.517

* E: -4.4367 eV/atom